Material: DyCrO3
Method: DFT, PBE with a Hubbard U
State: relaxed

Lattice parameters (Å, degrees): 5.6103 7.6561 5.3039 90.00 90.00 90.00
With the nearest neighbours (Å) after each atom.
Space group Pnma (No. 62)
One atom of each set of equivalent atoms:
Dy 0.0681 0.2500 0.0194 (multiplicity 4)  6 O 2.24-2.50
Cr 0.0000 0.0000 0.5000 (multiplicity 4)  6 O 2.02-2.03
O 0.0411 0.7500 0.3865 (multiplicity 4)  2 Cr 2.02, 1 Dy 2.24
O 0.1968 0.5581 0.8076 (multiplicity 8)  2 Cr 2.02-2.03

Values from the calculation:
total magnetic moment: 0.600 μB/atom
energy: -8.211 eV per atom